# GGA-PBE Ta2CoPb, optimized geometry
data_Ta2CoPb
_space_group_name_H-M_alt 'I -4 2 d'
_space_group_IT_number 122
_space_group_name_Hall 'I -4 2bw'
_cell_length_a 3.888
_cell_length_b 3.888
_cell_length_c 20.224
_cell_angle_alpha 90.00
_cell_angle_beta 90.00
_cell_angle_gamma 90.00
loop_
_atom_site_label
_atom_site_fract_x
_atom_site_fract_y
_atom_site_fract_z
Ta1 0.247 0.250 0.125
Co1 0.000 0.000 0.000
Pb1 0.000 0.000 0.500
# formation energy	817	meV/atom
# Fermi-level density of states	0.984	states/eV/atom